[1]
5
Lattice="4.485 0.000 0.000 0.000 4.485 0.000 0.000 0.000 4.455" Properties=species:S:1:pos:R:3 comment="P2PdSCl SCAN PBEsol geometry" raw_formation_energy_ev_per_atom=1.51 pbc="T T T"
P 0.000 2.242 0.000
P 2.242 0.000 0.000
Pd 0.000 0.000 2.227
S 2.242 2.242 2.227
Cl 2.242 2.242 0.000

***

[2]
5
Lattice="4.523 0.000 0.000 0.000 4.523 0.000 0.000 0.000 4.937" Properties=species:S:1:pos:R:3 comment="TiPPdCl2 SCAN PBEsol geometry" raw_formation_energy_ev_per_atom=-0.24 pbc="T T T"
Ti 0.000 0.000 0.000
P 0.000 0.000 2.469
Pd 2.261 2.261 2.469
Cl 0.000 2.261 0.000
Cl 2.261 0.000 0.000

***

[3]
8
Lattice="3.304 0.000 0.000 0.000 6.769 0.000 0.000 0.000 7.515" Properties=species:S:1:pos:R:3 comment="P2PtCl SCAN PBEsol geometry" raw_formation_energy_ev_per_atom=0.20 pbc="T T T"
P 0.000 0.000 0.000
P 0.000 3.385 1.395
P 1.652 0.000 1.395
P 1.652 3.385 0.000
Pt 0.000 0.000 2.976
Pt 1.652 3.385 2.976
Cl 0.000 3.385 4.744
Cl 1.652 0.000 4.744

***

Number 1: total energy -63.6 eV for the cell shown. Number 2: total energy -76.4 eV for the cell shown. Number 3: total energy -196.3 eV for the cell shown.